Record 1
The following is a PBE-GGA calculation of NdPuCuSe4 after structural relaxation, from Alexandria. Values from VASP.

Calculated values
Its density of states at the Fermi level is 1.77 states/eV/atom. As for the formation energy from raw total energies: -1.223 eV/atom. As for the space group: No. 11.

Cell and atoms, written as Quantum ESPRESSO input:
```
&SYSTEM
  ibrav = 0, nat = 14, ntyp = 4
/
ATOMIC_SPECIES
Nd 144.24 Nd.upf
Pu 244.00 Pu.upf
Cu 63.55 Cu.upf
Se 78.96 Se.upf
ATOMIC_POSITIONS crystal
Nd 0.236 0.250 0.432
Nd 0.764 0.750 0.568
Pu 0.231 0.250 0.937
Pu 0.769 0.750 0.063
Cu 0.241 0.750 0.184
Cu 0.759 0.250 0.816
Se 0.072 0.750 0.393
Se 0.076 0.750 0.891
Se 0.483 0.509 0.749
Se 0.483 0.991 0.749
Se 0.517 0.009 0.251
Se 0.517 0.491 0.251
Se 0.924 0.250 0.109
Se 0.928 0.250 0.607
CELL_PARAMETERS angstrom
7.133 0.000 0.000
0.000 5.816 0.000
-2.393 0.000 7.969
```

Record 2
The following is a PBE-GGA calculation of NdPu2Cu2Si2 after structural relaxation, from Alexandria. Values from VASP.

Calculated values
Its density of states at the Fermi level is 1.43 states/eV/atom. As for the formation energy from raw total energies: -0.329 eV/atom. As for the space group: No. 166.

Cell and atoms, written as Quantum ESPRESSO input:
```
&SYSTEM
  ibrav = 0, nat = 7, ntyp = 4
/
ATOMIC_SPECIES
Nd 144.24 Nd.upf
Pu 244.00 Pu.upf
Cu 63.55 Cu.upf
Si 28.09 Si.upf
ATOMIC_POSITIONS crystal
Nd 0.000 0.000 0.000
Pu 0.151 0.151 0.151
Pu 0.849 0.849 0.849
Cu 0.411 0.411 0.411
Cu 0.589 0.589 0.589
Si 0.255 0.255 0.255
Si 0.745 0.745 0.745
CELL_PARAMETERS angstrom
1.988 1.148 9.112
-1.988 1.148 9.112
0.000 -2.295 9.112
```

Record 3
The following is a PBE-GGA calculation of NdPuCuTc after structural relaxation, from Alexandria. Values from VASP.

Calculated values
Its density of states at the Fermi level is 2.31 states/eV/atom. As for the space group: No. 216. The calculation puts the calculated total energy at -32.97 eV per formula unit.

Cell and atoms, written as Quantum ESPRESSO input:
```
&SYSTEM
  ibrav = 0, nat = 4, ntyp = 4
/
ATOMIC_SPECIES
Nd 144.24 Nd.upf
Pu 244.00 Pu.upf
Cu 63.55 Cu.upf
Tc 98.00 Tc.upf
ATOMIC_POSITIONS crystal
Nd 0.000 0.000 0.000
Pu 0.500 0.500 0.500
Cu 0.750 0.750 0.750
Tc 0.250 0.250 0.250
CELL_PARAMETERS angstrom
0.000 3.486 3.486
3.486 0.000 3.486
3.486 3.486 0.000
```

Record 4
The following is a PBE-GGA calculation of Nd2PuCuTe5 after structural relaxation, from Alexandria. Values from VASP.

Calculated values
Its density of states at the Fermi level is 1.65 states/eV/atom. As for the formation energy from raw total energies: -1.074 eV/atom. As for the space group: No. 36.

Cell and atoms, written as Quantum ESPRESSO input:
```
&SYSTEM
  ibrav = 0, nat = 18, ntyp = 4
/
ATOMIC_SPECIES
Nd 144.24 Nd.upf
Pu 244.00 Pu.upf
Cu 63.55 Cu.upf
Te 127.60 Te.upf
ATOMIC_POSITIONS crystal
Nd 0.109 0.891 0.500
Nd 0.123 0.877 0.122
Nd 0.877 0.123 0.622
Nd 0.891 0.109 0.000
Pu 0.196 0.804 0.824
Pu 0.804 0.196 0.324
Cu 0.429 0.571 0.275
Cu 0.571 0.429 0.775
Te 0.044 0.956 0.880
Te 0.289 0.711 0.490
Te 0.314 0.686 0.156
Te 0.360 0.640 0.815
Te 0.500 0.500 0.102
Te 0.500 0.500 0.602
Te 0.640 0.360 0.315
Te 0.686 0.314 0.656
Te 0.711 0.289 0.990
Te 0.956 0.044 0.380
CELL_PARAMETERS angstrom
2.168 -9.568 0.000
2.168 9.568 0.000
0.000 0.000 13.015
```

Record 5
The following is a PBE-GGA calculation of NdPuTlCu after structural relaxation, from Alexandria. Values from VASP.

Calculated values
Its density of states at the Fermi level is 2.84 states/eV/atom. As for the space group: No. 216. The calculation puts the calculated total energy at -25.55 eV per formula unit.

Cell and atoms, written as Quantum ESPRESSO input:
```
&SYSTEM
  ibrav = 0, nat = 4, ntyp = 4
/
ATOMIC_SPECIES
Nd 144.24 Nd.upf
Pu 244.00 Pu.upf
Tl 204.38 Tl.upf
Cu 63.55 Cu.upf
ATOMIC_POSITIONS crystal
Nd 0.000 0.000 0.000
Pu 0.500 0.500 0.500
Tl 0.750 0.750 0.750
Cu 0.250 0.250 0.250
CELL_PARAMETERS angstrom
0.000 3.740 3.740
3.740 0.000 3.740
3.740 3.740 0.000
```

Record 6
The following is a PBE-GGA calculation of NdPuZnCu after structural relaxation, from Alexandria. Values from VASP.

Calculated values
Its density of states at the Fermi level is 2.69 states/eV/atom. As for the space group: No. 216. The calculation puts the calculated total energy at -24.61 eV per formula unit.

Cell and atoms, written as Quantum ESPRESSO input:
```
&SYSTEM
  ibrav = 0, nat = 4, ntyp = 4
/
ATOMIC_SPECIES
Nd 144.24 Nd.upf
Pu 244.00 Pu.upf
Zn 65.41 Zn.upf
Cu 63.55 Cu.upf
ATOMIC_POSITIONS crystal
Nd 0.000 0.000 0.000
Pu 0.500 0.500 0.500
Zn 0.750 0.750 0.750
Cu 0.250 0.250 0.250
CELL_PARAMETERS angstrom
0.000 3.591 3.591
3.591 0.000 3.591
3.591 3.591 0.000
```

Record 7
The following is a PBE-GGA calculation of RbNd2Cu after structural relaxation, from Alexandria. Values from VASP.

Calculated values
Its density of states at the Fermi level is 1.43 states/eV/atom. As for the space group: No. 166. The calculation puts the calculated total energy at -13.53 eV per formula unit.

Cell and atoms, written as Quantum ESPRESSO input:
```
&SYSTEM
  ibrav = 0, nat = 4, ntyp = 3
/
ATOMIC_SPECIES
Rb 85.47 Rb.upf
Nd 144.24 Nd.upf
Cu 63.55 Cu.upf
ATOMIC_POSITIONS crystal
Rb 0.000 0.000 0.000
Nd 0.114 0.114 0.114
Nd 0.886 0.886 0.886
Cu 0.500 0.500 0.500
CELL_PARAMETERS angstrom
1.942 1.121 11.788
-1.942 1.121 11.788
0.000 -2.243 11.788
```

Record 8
The following is a PBE-GGA calculation of RbNd2CuS4 after structural relaxation, from Alexandria. Values from VASP.

Calculated values
As for the formation energy from raw total energies: -1.628 eV/atom. As for the space group: No. 63.

Cell and atoms, written as Quantum ESPRESSO input:
```
&SYSTEM
  ibrav = 0, nat = 16, ntyp = 4
/
ATOMIC_SPECIES
Rb 85.47 Rb.upf
Nd 144.24 Nd.upf
Cu 63.55 Cu.upf
S 32.06 S.upf
ATOMIC_POSITIONS crystal
Rb 0.106 0.894 0.750
Rb 0.894 0.106 0.250
Nd 0.366 0.634 0.561
Nd 0.366 0.634 0.939
Nd 0.634 0.366 0.061
Nd 0.634 0.366 0.439
Cu 0.165 0.835 0.250
Cu 0.835 0.165 0.750
S 0.000 0.000 0.000
S 0.000 0.000 0.500
S 0.260 0.740 0.113
S 0.260 0.740 0.387
S 0.424 0.576 0.750
S 0.576 0.424 0.250
S 0.740 0.260 0.613
S 0.740 0.260 0.887
CELL_PARAMETERS angstrom
2.049 -7.086 0.000
2.049 7.086 0.000
0.000 0.000 14.086
```

Repeat the eighth record exactly.
The following is a PBE-GGA calculation of RbNd2CuS4 after structural relaxation, from Alexandria. Values from VASP.

Calculated values
As for the formation energy from raw total energies: -1.628 eV/atom. As for the space group: No. 63.

Cell and atoms, written as Quantum ESPRESSO input:
```
&SYSTEM
  ibrav = 0, nat = 16, ntyp = 4
/
ATOMIC_SPECIES
Rb 85.47 Rb.upf
Nd 144.24 Nd.upf
Cu 63.55 Cu.upf
S 32.06 S.upf
ATOMIC_POSITIONS crystal
Rb 0.106 0.894 0.750
Rb 0.894 0.106 0.250
Nd 0.366 0.634 0.561
Nd 0.366 0.634 0.939
Nd 0.634 0.366 0.061
Nd 0.634 0.366 0.439
Cu 0.165 0.835 0.250
Cu 0.835 0.165 0.750
S 0.000 0.000 0.000
S 0.000 0.000 0.500
S 0.260 0.740 0.113
S 0.260 0.740 0.387
S 0.424 0.576 0.750
S 0.576 0.424 0.250
S 0.740 0.260 0.613
S 0.740 0.260 0.887
CELL_PARAMETERS angstrom
2.049 -7.086 0.000
2.049 7.086 0.000
0.000 0.000 14.086
```

Copy entry 1 word for word.
The following is a PBE-GGA calculation of NdPuCuSe4 after structural relaxation, from Alexandria. Values from VASP.

Calculated values
Its density of states at the Fermi level is 1.77 states/eV/atom. As for the formation energy from raw total energies: -1.223 eV/atom. As for the space group: No. 11.

Cell and atoms, written as Quantum ESPRESSO input:
```
&SYSTEM
  ibrav = 0, nat = 14, ntyp = 4
/
ATOMIC_SPECIES
Nd 144.24 Nd.upf
Pu 244.00 Pu.upf
Cu 63.55 Cu.upf
Se 78.96 Se.upf
ATOMIC_POSITIONS crystal
Nd 0.236 0.250 0.432
Nd 0.764 0.750 0.568
Pu 0.231 0.250 0.937
Pu 0.769 0.750 0.063
Cu 0.241 0.750 0.184
Cu 0.759 0.250 0.816
Se 0.072 0.750 0.393
Se 0.076 0.750 0.891
Se 0.483 0.509 0.749
Se 0.483 0.991 0.749
Se 0.517 0.009 0.251
Se 0.517 0.491 0.251
Se 0.924 0.250 0.109
Se 0.928 0.250 0.607
CELL_PARAMETERS angstrom
7.133 0.000 0.000
0.000 5.816 0.000
-2.393 0.000 7.969
```